Record 1
The following is a DFT calculation (PBE-GGA) of a geometry-optimized PmSmGeRh structure.

Cell lengths 5.074, 5.074, 5.074 Å; angles 60.00, 60.00, 60.00 degrees
Element x y z (fractional)
1 Pm 0.000 0.000 0.000
2 Sm 0.500 0.500 0.500
3 Ge 0.750 0.750 0.750
4 Rh 0.250 0.250 0.250

Calculated values
symmetry	No. 216
excess energy over the best structure of this formula in the dataset	0.168	eV per atom
formation energy	-639	meV per atom

Record 2
The following is a DFT calculation (PBE-GGA) of a geometry-optimized Cr2Ge2W structure.

Cell lengths 6.912, 6.912, 2.930 Å; angles 90.00, 90.00, 90.00 degrees
Element x y z (fractional)
1 Cr 0.150 0.350 0.000
2 Cr 0.350 0.850 0.000
3 Cr 0.650 0.150 0.000
4 Cr 0.850 0.650 0.000
5 Ge 0.145 0.645 0.500
6 Ge 0.355 0.145 0.500
7 Ge 0.645 0.855 0.500
8 Ge 0.855 0.355 0.500
9 W 0.000 0.000 0.500
10 W 0.500 0.500 0.500

Calculated values
symmetry	No. 127
formation energy	191	meV per atom

Record 3
The following is a DFT calculation (PBE-GGA) of a geometry-optimized GaSi2Ir2 structure.

Cell lengths 7.310, 7.310, 2.753 Å; angles 90.00, 90.00, 90.00 degrees
Element x y z (fractional)
1 Ga 0.000 0.000 0.000
2 Ga 0.500 0.500 0.000
3 Si 0.148 0.352 0.500
4 Si 0.352 0.852 0.500
5 Si 0.648 0.148 0.500
6 Si 0.852 0.648 0.500
7 Ir 0.145 0.645 0.000
8 Ir 0.355 0.145 0.000
9 Ir 0.645 0.855 0.000
10 Ir 0.855 0.355 0.000

Calculated values
symmetry	No. 127
excess energy over the best structure of this formula in the dataset	0.100	eV per atom
E_form (uncorrected)	-0.350	eV per atom

Record 4
The following is a DFT calculation (PBE-GGA) of a geometry-optimized Sc2AlTe4 structure.

Cell lengths 7.761, 7.761, 7.761 Å; angles 131.43, 131.43, 71.13 degrees
Element x y z (fractional)
1 Sc 0.250 0.750 0.500
2 Sc 0.750 0.250 0.500
3 Al 0.000 0.000 0.000
4 Te 0.135 0.634 0.000
5 Te 0.366 0.366 0.500
6 Te 0.634 0.135 0.000
7 Te 0.865 0.865 0.500

Calculated values
symmetry	No. 121
E_form (uncorrected)	-0.708	eV per atom

Record 5
The following is a DFT calculation (PBE-GGA) of a geometry-optimized YTaTe structure.

Cell lengths 5.019, 5.019, 5.019 Å; angles 60.00, 60.00, 60.00 degrees
Element x y z (fractional)
1 Y 0.000 0.000 0.000
2 Ta 0.750 0.750 0.750
3 Te 0.250 0.250 0.250

Calculated values
symmetry	No. 216
excess energy over the best structure of this formula in the dataset	1.002	eV per atom
E_form (uncorrected)	0.841	eV per atom

Record 6
The following is a DFT calculation (PBE-GGA) of a geometry-optimized Ce5ErSb3 structure.

Cell lengths 6.623, 9.011, 9.011 Å; angles 103.31, 92.60, 92.58 degrees
Element x y z (fractional)
1 Ce 0.002 0.171 0.336
2 Ce 0.272 0.175 0.679
3 Ce 0.274 0.858 0.011
4 Ce 0.277 0.515 0.357
5 Ce 0.497 0.830 0.668
6 Ce 0.503 0.170 0.332
7 Ce 0.723 0.485 0.643
8 Ce 0.726 0.142 0.989
9 Ce 0.728 0.825 0.321
10 Ce 0.998 0.829 0.664
11 Er 0.000 0.500 0.000
12 Er 0.500 0.500 0.000
13 Sb 0.231 0.533 0.713
14 Sb 0.233 0.215 0.037
15 Sb 0.234 0.869 0.367
16 Sb 0.766 0.131 0.633
17 Sb 0.767 0.785 0.963
18 Sb 0.769 0.467 0.287

Calculated values
symmetry	No. 2
E_form (uncorrected)	-0.669	eV per atom

Record 7
The following is a DFT calculation (PBE-GGA) of a geometry-optimized Pb2W structure.

Cell lengths 4.858, 4.858, 4.858 Å; angles 60.00, 60.00, 60.00 degrees
Element x y z (fractional)
1 Pb 0.250 0.250 0.250
2 Pb 0.750 0.750 0.750
3 W 0.000 0.000 0.000

Calculated values
symmetry	No. 225
excess energy over the best structure of this formula in the dataset	0.596	eV per atom
formation energy	1179	meV per atom

Record 8
The following is a DFT calculation (PBE-GGA) of a geometry-optimized Nb2CrTe2Se4 structure.

Cell lengths 3.481, 3.481, 21.868 Å; angles 90.00, 90.00, 120.00 degrees
Element x y z (fractional)
1 Nb 0.000 0.000 0.000
2 Nb 0.333 0.667 0.321
3 Cr 0.333 0.667 0.676
4 Te 0.000 0.000 0.597
5 Te 0.000 0.000 0.754
6 Se 0.000 0.000 0.244
7 Se 0.000 0.000 0.398
8 Se 0.333 0.667 0.077
9 Se 0.333 0.667 0.923

Calculated values
symmetry	No. 156
E_form (uncorrected)	-0.605	eV per atom

Record 9
The following is a DFT calculation (PBE-GGA) of a geometry-optimized Ac2CBr structure.

Cell lengths 8.432, 8.432, 8.432 Å; angles 27.47, 27.47, 27.47 degrees
Element x y z (fractional)
1 Ac 0.000 0.000 0.000
2 Ac 0.210 0.210 0.210
3 C 0.604 0.604 0.604
4 Br 0.437 0.437 0.437

Calculated values
symmetry	No. 160
excess energy over the best structure of this formula in the dataset	0.009	eV per atom
E_form (uncorrected)	-0.718	eV per atom

Record 10
The following is a DFT calculation (PBE-GGA) of a geometry-optimized LaNd5Tm2Sc structure.

Cell lengths 10.485, 10.485, 10.534 Å; angles 90.00, 90.00, 148.58 degrees
Element x y z (fractional)
1 La 0.088 0.912 0.500
2 La 0.912 0.088 0.000
3 Nd 0.015 0.985 0.786
4 Nd 0.125 0.875 0.064
5 Nd 0.202 0.798 0.752
6 Nd 0.224 0.776 0.367
7 Nd 0.483 0.517 0.062
8 Nd 0.517 0.483 0.562
9 Nd 0.776 0.224 0.867
10 Nd 0.798 0.202 0.252
11 Nd 0.875 0.125 0.564
12 Nd 0.985 0.015 0.286
13 Tm 0.384 0.616 0.781
14 Tm 0.388 0.612 0.354
15 Tm 0.612 0.388 0.854
16 Tm 0.616 0.384 0.281
17 Sc 0.306 0.694 0.059
18 Sc 0.694 0.306 0.559

Calculated values
symmetry	No. 36
formation energy	165	meV per atom

Record 11
The following is a DFT calculation (PBE-GGA) of a geometry-optimized HgMoW2 structure.

Cell lengths 10.052, 10.052, 10.052 Å; angles 16.23, 16.23, 16.23 degrees
Element x y z (fractional)
1 Hg 0.000 0.000 0.000
2 Mo 0.500 0.500 0.500
3 W 0.247 0.247 0.247
4 W 0.753 0.753 0.753

Calculated values
symmetry	No. 166
formation energy	649	meV per atom

Record 12
The following is a DFT calculation (PBE-GGA) of a geometry-optimized TaAsPt2 structure.

Cell lengths 5.005, 5.005, 4.675 Å; angles 94.19, 94.19, 34.53 degrees
Element x y z (fractional)
1 Ta 0.000 0.000 0.000
2 As 0.500 0.500 0.500
3 Pt 0.268 0.268 0.759
4 Pt 0.732 0.732 0.241

Calculated values
symmetry	No. 12
formation energy	-299	meV per atom

Record 13
The following is a DFT calculation (PBE-GGA) of a geometry-optimized ReAgRh2 structure.

Cell lengths 5.599, 5.599, 5.599 Å; angles 151.46, 131.35, 57.38 degrees
Element x y z (fractional)
1 Re 0.000 0.000 0.000
2 Ag 0.271 0.771 0.500
3 Rh 0.547 0.547 0.000
4 Rh 0.785 0.285 0.500

Calculated values
symmetry	No. 44
excess energy over the best structure of this formula in the dataset	0.347	eV per atom
formation energy	341	meV per atom

Record 14
The following is a DFT calculation (PBE-GGA) of a geometry-optimized TeSe3F structure.

Cell lengths 4.740, 4.740, 4.740 Å; angles 90.00, 90.00, 90.00 degrees
Element x y z (fractional)
1 Te 0.000 0.000 0.000
2 Se 0.000 0.500 0.500
3 Se 0.500 0.000 0.500
4 Se 0.500 0.500 0.000
5 F 0.500 0.500 0.500

Calculated values
symmetry	No. 221
excess energy over the best structure of this formula in the dataset	0.000	eV per atom
E_form (uncorrected)	0.483	eV per atom

Record 15
The following is a DFT calculation (PBE-GGA) of a geometry-optimized Tb2PuRh structure.

Cell lengths 10.559, 10.559, 10.559 Å; angles 19.76, 19.76, 19.76 degrees
Element x y z (fractional)
1 Tb 0.109 0.109 0.109
2 Tb 0.891 0.891 0.891
3 Pu 0.000 0.000 0.000
4 Rh 0.500 0.500 0.500

Calculated values
symmetry	No. 166
excess energy over the best structure of this formula in the dataset	0.280	eV per atom
formation energy	-40	meV per atom

Record 16
The following is a DFT calculation (PBE-GGA) of a geometry-optimized RbTl3Rh structure.

Cell lengths 7.654, 7.654, 6.345 Å; angles 90.00, 90.00, 116.36 degrees
Element x y z (fractional)
1 Rb 0.076 0.924 0.750
2 Rb 0.924 0.076 0.250
3 Tl 0.035 0.603 0.250
4 Tl 0.397 0.965 0.250
5 Tl 0.500 0.500 0.000
6 Tl 0.500 0.500 0.500
7 Tl 0.603 0.035 0.750
8 Tl 0.965 0.397 0.750
9 Rh 0.337 0.663 0.750
10 Rh 0.663 0.337 0.250

Calculated values
symmetry	No. 63
excess energy over the best structure of this formula in the dataset	0.182	eV per atom
formation energy	119	meV per atom

Record 17
The following is a DFT calculation (PBE-GGA) of a geometry-optimized Cs8Na4Y3HoCl24 structure.

Cell lengths 7.709, 10.903, 15.422 Å; angles 90.00, 90.00, 90.00 degrees
Element x y z (fractional)
1 Cs 0.000 0.250 0.000
2 Cs 0.000 0.250 0.500
3 Cs 0.000 0.750 0.000
4 Cs 0.000 0.750 0.500
5 Cs 0.500 0.250 0.250
6 Cs 0.500 0.250 0.750
7 Cs 0.500 0.750 0.250
8 Cs 0.500 0.750 0.750
9 Na 0.000 0.000 0.250
10 Na 0.000 0.000 0.750
11 Na 0.500 0.500 0.000
12 Na 0.500 0.500 0.500
13 Y 0.000 0.500 0.250
14 Y 0.000 0.500 0.750
15 Y 0.500 0.000 0.000
16 Ho 0.500 0.000 0.500
17 Cl 0.000 0.257 0.250
18 Cl 0.000 0.257 0.750
19 Cl 0.000 0.743 0.250
20 Cl 0.000 0.743 0.750
21 Cl 0.243 0.500 0.129
22 Cl 0.243 0.500 0.371
23 Cl 0.243 0.500 0.629
24 Cl 0.243 0.500 0.871
25 Cl 0.257 0.000 0.121
26 Cl 0.257 0.000 0.879
27 Cl 0.258 0.000 0.379
28 Cl 0.258 0.000 0.621
29 Cl 0.500 0.241 0.500
30 Cl 0.500 0.243 0.000
31 Cl 0.500 0.757 0.000
32 Cl 0.500 0.759 0.500
33 Cl 0.742 0.000 0.379
34 Cl 0.742 0.000 0.621
35 Cl 0.743 0.000 0.121
36 Cl 0.743 0.000 0.879
37 Cl 0.757 0.500 0.129
38 Cl 0.757 0.500 0.371
39 Cl 0.757 0.500 0.629
40 Cl 0.757 0.500 0.871

Calculated values
symmetry	No. 47
E_form (uncorrected)	-2.143	eV per atom

Record 18
The following is a DFT calculation (PBE-GGA) of a geometry-optimized CePm5Bi6 structure.

Cell lengths 7.935, 7.935, 7.941 Å; angles 99.59, 99.59, 120.01 degrees
Element x y z (fractional)
1 Ce 0.000 0.000 0.000
2 Pm 0.167 0.833 0.500
3 Pm 0.334 0.666 0.000
4 Pm 0.500 0.500 0.500
5 Pm 0.666 0.334 0.000
6 Pm 0.833 0.167 0.500
7 Bi 0.083 0.415 0.250
8 Bi 0.249 0.249 0.751
9 Bi 0.415 0.083 0.250
10 Bi 0.585 0.917 0.750
11 Bi 0.751 0.751 0.249
12 Bi 0.917 0.585 0.750

Calculated values
symmetry	No. 12
formation energy	-920	meV per atom

Record 19
The following is a DFT calculation (PBE-GGA) of a geometry-optimized ErNi2Ge3 structure.

Cell lengths 6.017, 6.017, 5.523 Å; angles 90.00, 90.00, 78.12 degrees
Element x y z (fractional)
1 Er 0.153 0.847 0.750
2 Er 0.847 0.153 0.250
3 Ni 0.281 0.281 0.000
4 Ni 0.281 0.281 0.500
5 Ni 0.719 0.719 0.000
6 Ni 0.719 0.719 0.500
7 Ge 0.045 0.634 0.250
8 Ge 0.366 0.955 0.250
9 Ge 0.478 0.522 0.250
10 Ge 0.522 0.478 0.750
11 Ge 0.634 0.045 0.750
12 Ge 0.955 0.366 0.750

Calculated values
symmetry	No. 63
excess energy over the best structure of this formula in the dataset	0.069	eV per atom
formation energy	-369	meV per atom

Record 20
The following is a DFT calculation (PBE-GGA) of a geometry-optimized Ta3PbO8 structure.

Cell lengths 7.059, 7.059, 7.617 Å; angles 106.83, 106.83, 31.14 degrees
Element x y z (fractional)
1 Ta 0.000 0.000 0.000
2 Ta 0.051 0.051 0.536
3 Ta 0.771 0.771 0.557
4 Pb 0.720 0.720 0.017
5 O 0.011 0.011 0.268
6 O 0.073 0.073 0.811
7 O 0.232 0.232 0.598
8 O 0.535 0.535 0.027
9 O 0.602 0.602 0.561
10 O 0.718 0.718 0.312
11 O 0.864 0.864 0.854
12 O 0.909 0.909 0.530

Calculated values
symmetry	No. 8
E_form (uncorrected)	-2.437	eV per atom

Record 21
The following is a DFT calculation (PBE-GGA) of a geometry-optimized Zn2AgSb structure.

Cell lengths 9.633, 9.633, 9.633 Å; angles 154.28, 154.28, 36.69 degrees
Element x y z (fractional)
1 Zn 0.070 0.625 0.945
2 Zn 0.375 0.320 0.445
3 Zn 0.680 0.125 0.055
4 Zn 0.875 0.930 0.555
5 Ag 0.000 0.000 0.000
6 Ag 0.750 0.250 0.500
7 Sb 0.250 0.750 0.500
8 Sb 0.500 0.500 0.000

Calculated values
symmetry	No. 122
E_form (uncorrected)	0.110	eV per atom

Record 22
The following is a DFT calculation (PBE-GGA) of a geometry-optimized TmHfTh2 structure.

Cell lengths 11.387, 11.387, 11.387 Å; angles 17.46, 17.46, 17.46 degrees
Element x y z (fractional)
1 Tm 0.000 0.000 0.000
2 Hf 0.170 0.170 0.170
3 Th 0.582 0.582 0.582
4 Th 0.755 0.755 0.755

Calculated values
symmetry	No. 160
excess energy over the best structure of this formula in the dataset	0.033	eV per atom
formation energy	137	meV per atom

Record 23
The following is a DFT calculation (PBE-GGA) of a geometry-optimized KCu2P structure.

Cell lengths 7.993, 7.993, 7.993 Å; angles 141.43, 141.43, 55.68 degrees
Element x y z (fractional)
1 K 0.375 0.625 0.750
2 K 0.625 0.375 0.250
3 Cu 0.000 0.000 0.000
4 Cu 0.000 0.000 0.500
5 Cu 0.000 0.500 0.000
6 Cu 0.500 0.000 0.500
7 P 0.125 0.875 0.250
8 P 0.875 0.125 0.750

Calculated values
symmetry	No. 141
formation energy	-197	meV per atom

Number 1: ρ 8.47 g cm⁻³, N(E_F) 0.65 states/eV per atom. Number 2: ρ 10.28 g cm⁻³, N(E_F) 1.09 states/eV per atom. Number 3: ρ 11.52 g cm⁻³, N(E_F) 0.34 states/eV per atom. Number 4: ρ 4.05 g cm⁻³, N(E_F) 0.81 states/eV per atom. Number 5: ρ 7.38 g cm⁻³, N(E_F) 0.85 states/eV per atom. Number 6: ρ 7.85 g cm⁻³, N(E_F) 2.82 states/eV per atom. Number 7: ρ 12.25 g cm⁻³, N(E_F) 1.13 states/eV per atom. Number 8: ρ 5.85 g cm⁻³, N(E_F) 0.94 states/eV per atom. Number 9: ρ 8.05 g cm⁻³, N(E_F) 0.60 states/eV per atom. Number 10: ρ 6.84 g cm⁻³, N(E_F) 1.58 states/eV per atom. Number 11: ρ 15.94 g cm⁻³, N(E_F) 1.11 states/eV per atom. Number 12: ρ 16.21 g cm⁻³, N(E_F) 0.66 states/eV per atom. Number 13: ρ 13.28 g cm⁻³, N(E_F) 0.92 states/eV per atom. Number 14: ρ 5.98 g cm⁻³, N(E_F) 0.84 states/eV per atom. Number 15: ρ 9.38 g cm⁻³, N(E_F) 2.81 states/eV per atom. Number 16: ρ 7.99 g cm⁻³, N(E_F) 0.83 states/eV per atom. Number 17: ρ 3.12 g cm⁻³, N(E_F) 0.00 states/eV per atom. Number 18: ρ 8.62 g cm⁻³, N(E_F) 0.56 states/eV per atom. Number 19: ρ 8.53 g cm⁻³, N(E_F) 0.66 states/eV per atom. Number 20: ρ 7.79 g cm⁻³, N(E_F) 0.24 states/eV per atom. Number 21: ρ 7.12 g cm⁻³, N(E_F) 0.43 states/eV per atom. Number 22: ρ 11.62 g cm⁻³, N(E_F) 1.59 states/eV per atom. Number 23: ρ 3.32 g cm⁻³, N(E_F) 0.00 states/eV per atom.